4
Lattice="3.400 0.000 0.000 0.000 4.354 0.000 0.000 0.000 4.354" Properties=species:S:1:pos:R:3 comment="UNiMo2 PBE relaxed" delta_e_f_mev_per_atom=162 polymorph_energy_ev_per_atom=0.000 pbc="T T T"
Mo 0.000 2.177 0.000
Mo 0.000 0.000 2.177
Ni 1.700 2.177 2.177
U 1.700 0.000 0.000


The following is a DFT calculation (PBE) of crystalline K2DyAuO4 at its relaxed geometry.

extended XYZ file:
```
16
Lattice="6.231 0.000 0.000 3.116 7.201 0.000 3.116 0.000 11.558" Properties=species:S:1:pos:R:3 pbc="T T T"
Dy 0.000 0.000 0.000
Dy 7.789 3.601 5.779
K 7.789 3.601 10.343
K 6.231 0.000 4.563
K 7.789 3.601 1.216
K 3.116 0.000 6.995
O 10.822 5.771 11.556
O 9.429 5.031 5.781
O 3.198 2.171 5.777
O 4.756 1.430 11.556
O 4.756 5.771 0.002
O 6.149 2.171 5.781
O 6.149 5.031 5.777
O 4.591 1.430 0.002
Au 4.673 3.601 5.779
Au 3.116 0.000 0.000
```


20
Lattice="-5.297 1.360 6.035 -1.583 -8.157 0.449 7.453 -1.128 5.784" Properties=species:S:1:pos:R:3 comment="Tl2AgTe2 PBE relaxed" polymorph_energy_ev_per_atom=0.001 pbc="T T T"
Te 1.836 -3.551 9.561
Te -4.507 -6.767 5.893
Te 1.317 -1.009 3.440
Te -0.743 -6.917 8.828
Te 2.345 -5.329 5.686
Te -1.772 -2.596 6.582
Te -1.262 -4.374 2.707
Te 5.080 -1.159 6.375
Tl 3.077 -6.536 8.681
Tl 1.854 -1.492 6.976
Tl 0.126 -2.164 0.575
Tl -1.281 -6.434 5.292
Tl -2.504 -1.390 3.587
Tl 0.447 -5.761 11.693
Tl 4.276 -3.337 4.023
Tl -3.703 -4.588 8.245
Ag 0.085 -4.579 7.463
Ag -1.640 0.012 7.675
Ag 2.213 -7.937 4.593
Ag 0.489 -3.347 4.805


The following is a DFT calculation (PBE) of crystalline Cs2BaAu2I6 at its relaxed geometry.

extended XYZ file:
```
11
Lattice="9.052 0.000 0.000 -4.526 7.086 -0.211 0.000 -4.268 9.244" Properties=species:S:1:pos:R:3 pbc="T T T"
I 1.983 5.517 1.549
I 4.526 1.134 5.480
I 0.000 1.684 3.553
I 2.543 -2.699 7.484
I 6.510 -2.699 7.484
I -1.983 5.517 1.549
Cs 4.526 2.173 1.793
Cs 0.000 0.645 7.239
Au 0.000 -0.973 2.121
Au 4.526 3.791 6.912
Ba 4.526 -2.134 4.622
```


The following is a DFT calculation (PBE) of crystalline Ca2ZrSb at its relaxed geometry.

extended XYZ file:
```
4
Lattice="5.319 0.000 0.000 2.660 4.607 0.000 2.660 1.536 4.343" Properties=species:S:1:pos:R:3 pbc="T T T"
Zr 2.660 1.536 1.086
Ca 7.979 4.607 3.257
Ca 0.000 0.000 0.000
Sb 5.319 3.071 2.172
```


14
Lattice="-0.469 3.668 -2.134 -5.745 0.965 -1.349 -2.278 8.707 11.198" Properties=species:S:1:pos:R:3 comment="La3GePt3 PBE relaxed" delta_e_f_mev_per_atom=-1093 pbc="T T T"
La -3.549 7.599 5.303
La -3.905 9.771 9.115
La -4.587 3.568 -1.399
La -2.110 3.190 1.677
La -4.943 5.740 2.413
La -6.382 10.150 6.039
Ge -1.709 6.342 2.736
Ge -6.783 6.998 4.980
Pt -2.654 4.710 4.410
Pt -1.610 4.039 -1.244
Pt -5.838 8.630 3.306
Pt -2.820 6.943 8.286
Pt -6.882 9.300 8.960
Pt -5.673 6.396 -0.570


| no. | total magnetic moment (μB/f.u.) | uncorrected energy (eV per atom) |
| --- | --- | --- |
| 1 | 0.00 | -9.521 |
| 2 | 0.00 | -5.098 |
| 3 | 0.00 | -2.955 |
| 4 | 0.00 | -2.792 |
| 5 | 1.00 | -4.203 |
| 6 | 0.00 | -6.453 |